1.
{"formula": "Nb4SiC2", "functional": "PBE-GGA", "state": "optimized geometry", "n_ef_per_ev_cell": 4.58, "m_tot_mub_per_fu": 0.00, "final_energy_ev_per_atom": -9.74, "cell": [[1.659, -5.243, 0.000], [1.659, 5.243, 0.000], [0.000, 0.000, 11.150]], "species": ["Nb", "Nb", "Nb", "Nb", "Nb", "Nb", "Nb", "Nb", "Si", "Si", "C", "C", "C", "C"], "frac_coords": [[0.000, 0.000, 0.000], [0.000, 0.000, 0.500], [0.266, 0.734, 0.610], [0.266, 0.734, 0.890], [0.426, 0.574, 0.250], [0.574, 0.426, 0.750], [0.734, 0.266, 0.110], [0.734, 0.266, 0.390], [0.108, 0.892, 0.250], [0.892, 0.108, 0.750], [0.364, 0.636, 0.062], [0.364, 0.636, 0.438], [0.636, 0.364, 0.562], [0.636, 0.364, 0.938]]}

2.
{"formula": "Ti5VZn4", "functional": "PBE-GGA", "state": "optimized geometry", "n_ef_per_ev_cell": 11.46, "m_tot_mub_per_fu": 0.00, "e_form_ev_per_fu": -1.42, "cell": [[3.139, 0.000, 0.000], [0.000, 3.139, 0.000], [0.000, 0.000, 15.772]], "species": ["Ti", "Ti", "Ti", "Ti", "Ti", "V", "Zn", "Zn", "Zn", "Zn"], "frac_coords": [[0.000, 0.000, 0.000], [0.000, 0.000, 0.201], [0.000, 0.000, 0.406], [0.000, 0.000, 0.594], [0.000, 0.000, 0.799], [0.500, 0.500, 0.500], [0.500, 0.500, 0.100], [0.500, 0.500, 0.302], [0.500, 0.500, 0.698], [0.500, 0.500, 0.900]]}

3.
{"formula": "BaLiTeI2", "functional": "PBE-GGA", "state": "optimized geometry", "n_ef_per_ev_cell": 5.37, "m_tot_mub_per_fu": 0.00, "de_polymorph_mev_per_atom": 0, "cell": [[5.592, 0.000, 0.000], [0.000, 5.592, 0.000], [0.000, 0.000, 5.579]], "species": ["Ba", "Li", "Te", "I", "I"], "frac_coords": [[0.000, 0.000, 0.000], [0.500, 0.500, 0.500], [0.500, 0.500, 0.000], [0.000, 0.500, 0.500], [0.500, 0.000, 0.500]]}